1.
VASP calculation (PBE-GGA) on a relaxed structure of Sn4PtRh.

Relative energy among the computed polymorphs in meV/atom: 111
Formation energy in eV per atom: -0.33
Total moment in μB per cell: 0.000

POSCAR file:
```
Sn4PtRh
1.0
7.1609 0.0000 0.0000
0.0000 5.0360 0.0000
-0.1848 0.0000 7.3068
Sn Pt Rh
8 2 2
Direct
0.1439 0.0000 0.3604
0.1548 0.5000 0.1299
0.3452 0.0000 0.8701
0.3561 0.5000 0.6396
0.6439 0.5000 0.3604
0.6548 0.0000 0.1299
0.8452 0.5000 0.8701
0.8561 0.0000 0.6396
0.0000 0.5000 0.5000
0.5000 0.0000 0.5000
0.0000 0.0000 0.0000
0.5000 0.5000 0.0000
```

---

2.
VASP calculation (PBE-GGA) on a relaxed structure of NaCaTlCd.

Formation energy in eV per atom: -0.22
Total moment in μB per cell: 0.000

POSCAR file:
```
NaCaTlCd
1.0
7.6220 0.0000 0.0000
0.0000 7.6220 0.0000
0.0000 0.0000 7.6220
Na Ca Tl Cd
4 4 4 4
Direct
0.0000 0.0000 0.0000
0.0000 0.5000 0.5000
0.5000 0.0000 0.5000
0.5000 0.5000 0.0000
0.0000 0.0000 0.5000
0.0000 0.5000 0.0000
0.5000 0.0000 0.0000
0.5000 0.5000 0.5000
0.2500 0.2500 0.7500
0.2500 0.7500 0.2500
0.7500 0.2500 0.2500
0.7500 0.7500 0.7500
0.2500 0.2500 0.2500
0.2500 0.7500 0.7500
0.7500 0.2500 0.7500
0.7500 0.7500 0.2500
```

---

3.
VASP calculation (PBE-GGA) on a relaxed structure of AsSe2IBr.

Formation energy from raw total energies in kJ/mol of formula units: 478
Relative energy among the computed polymorphs in meV/atom: 606
Total moment in μB per cell: 0.000

POSCAR file:
```
AsSe2IBr
1.0
5.0204 0.0000 0.0000
0.0000 5.0204 0.0000
0.0000 0.0000 5.8832
As Se I Br
1 2 1 1
Direct
0.0000 0.0000 0.0000
0.0000 0.5000 0.5000
0.5000 0.0000 0.5000
0.5000 0.5000 0.0000
0.0000 0.0000 0.5000
```

---

4.
VASP calculation (PBE-GGA) on a relaxed structure of Ge2OsPt.

Relative energy among the computed polymorphs in meV/atom: 0
Formation energy in eV per atom: 0.20
Total moment in μB per cell: 0.000

POSCAR file:
```
Ge2OsPt
1.0
6.2536 0.0000 0.0000
0.0000 6.2536 0.0000
0.0000 0.0000 6.2536
Ge Os Pt
8 4 4
Direct
0.2500 0.2500 0.2500
0.2500 0.2500 0.7500
0.2500 0.7500 0.2500
0.2500 0.7500 0.7500
0.7500 0.2500 0.2500
0.7500 0.2500 0.7500
0.7500 0.7500 0.2500
0.7500 0.7500 0.7500
0.0000 0.0000 0.0000
0.0000 0.5000 0.5000
0.5000 0.0000 0.5000
0.5000 0.5000 0.0000
0.0000 0.0000 0.5000
0.0000 0.5000 0.0000
0.5000 0.0000 0.0000
0.5000 0.5000 0.5000
```

---

5.
VASP calculation (PBE-GGA) on a relaxed structure of Sm4Dy2Sb3N2.

Formation energy from raw total energies in kJ/mol of formula units: -1221
Total moment in μB per cell: 0.000

POSCAR file:
```
Sm4Dy2Sb3N2
1.0
-2.3685 2.3685 12.7237
2.3685 -2.3685 12.7237
2.3685 2.3685 -12.7237
Sm Dy Sb N
4 2 3 2
Direct
0.0841 0.5841 0.5000
0.4159 0.9159 0.5000
0.5841 0.0841 0.5000
0.9159 0.4159 0.5000
0.1926 0.1926 0.0000
0.8074 0.8074 0.0000
0.3190 0.3190 0.0000
0.5000 0.5000 0.0000
0.6810 0.6810 0.0000
0.1061 0.1061 0.0000
0.8939 0.8939 0.0000
```

---

6.
VASP calculation (PBE-GGA) on a relaxed structure of P2NF4.

Formation energy from raw total energies in kJ/mol of formula units: 126
Total moment in μB per cell: 9.935

POSCAR file:
```
P2NF4
1.0
4.0707 0.0000 0.0000
0.0000 4.0707 0.0000
0.0000 0.0000 14.3185
P N F
4 2 8
Direct
0.0000 0.0000 0.1338
0.0000 0.0000 0.8662
0.5000 0.5000 0.3662
0.5000 0.5000 0.6338
0.0000 0.0000 0.5000
0.5000 0.5000 0.0000
0.0000 0.0000 0.2475
0.0000 0.0000 0.7525
0.0000 0.5000 0.0000
0.0000 0.5000 0.5000
0.5000 0.0000 0.0000
0.5000 0.0000 0.5000
0.5000 0.5000 0.2525
0.5000 0.5000 0.7475
```

---

7.
VASP calculation (PBE-GGA) on a relaxed structure of IrC.

Relative energy among the computed polymorphs in meV/atom: 91
Formation energy in eV per atom: 0.55
Total moment in μB per cell: 0.000

POSCAR file:
```
IrC
1.0
2.5836 0.0000 0.0000
-1.2918 2.2375 0.0000
0.0000 0.0000 22.4142
Ir C
4 4
Direct
0.3333 0.6667 0.0504
0.3333 0.6667 0.4496
0.6667 0.3333 0.5504
0.6667 0.3333 0.9496
0.0000 0.0000 0.2500
0.0000 0.0000 0.7500
0.3333 0.6667 0.7500
0.6667 0.3333 0.2500
```

---

8.
VASP calculation (PBE-GGA) on a relaxed structure of Th2GeH4.

Total moment in μB per cell: 0.000
E in eV per atom: -5.221

POSCAR file:
```
Th2GeH4
1.0
7.2603 0.0000 0.0000
0.0000 7.2603 0.0000
0.0000 0.0000 3.9614
Th Ge H
4 2 8
Direct
0.2149 0.2149 0.0000
0.2851 0.7149 0.5000
0.7149 0.2851 0.5000
0.7851 0.7851 0.0000
0.0000 0.0000 0.5000
0.5000 0.5000 0.0000
0.0968 0.6634 0.0000
0.1634 0.4032 0.5000
0.3366 0.9032 0.0000
0.4032 0.1634 0.5000
0.5968 0.8366 0.5000
0.6634 0.0968 0.0000
0.8366 0.5968 0.5000
0.9032 0.3366 0.0000
```

---

9.
VASP calculation (PBE-GGA) on a relaxed structure of Sr3CaIn4.

Formation energy in eV per atom: -0.44
Total moment in μB per cell: 0.000

POSCAR file:
```
Sr3CaIn4
1.0
4.0169 0.0000 0.0000
0.0000 4.0169 0.0000
0.0000 0.0000 16.1222
Sr Ca In
3 1 4
Direct
0.0000 0.0000 0.0000
0.0000 0.0000 0.2572
0.0000 0.0000 0.7428
0.0000 0.0000 0.5000
0.5000 0.5000 0.1252
0.5000 0.5000 0.3912
0.5000 0.5000 0.6088
0.5000 0.5000 0.8748
```

---

10.
VASP calculation (PBE-GGA) on a relaxed structure of GaCu2Ni2.

Formation energy in eV per atom: 0.06
Total moment in μB per cell: 0.000

POSCAR file:
```
GaCu2Ni2
1.0
6.7014 0.0000 0.0000
0.0000 6.7014 0.0000
0.0000 0.0000 2.7817
Ga Cu Ni
2 4 4
Direct
0.0000 0.0000 0.0000
0.5000 0.5000 0.0000
0.1293 0.3707 0.0000
0.3707 0.8707 0.0000
0.6293 0.1293 0.0000
0.8707 0.6293 0.0000
0.1680 0.6680 0.5000
0.3320 0.1680 0.5000
0.6680 0.8320 0.5000
0.8320 0.3320 0.5000
```

---

11.
VASP calculation (PBE-GGA) on a relaxed structure of Cu2SiOs.

Formation energy from raw total energies in kJ/mol of formula units: 14
Total moment in μB per cell: 0.000

POSCAR file:
```
Cu2SiOs
1.0
3.5826 0.0000 0.0000
0.0000 3.5826 0.0000
0.0000 0.0000 3.9275
Cu Si Os
2 1 1
Direct
0.0000 0.5000 0.0000
0.5000 0.0000 0.0000
0.0000 0.0000 0.5000
0.5000 0.5000 0.5000
```

---

12.
VASP calculation (PBE-GGA) on a relaxed structure of RbNa2H3.

Total moment in μB per cell: 0.000
E in eV per atom: -2.405

POSCAR file:
```
RbNa2H3
1.0
1.9975 -6.4314 0.0000
1.9975 6.4314 0.0000
0.0000 0.0000 8.9026
Rb Na H
2 4 6
Direct
0.2412 0.7588 0.7500
0.7588 0.2412 0.2500
0.0209 0.9791 0.2500
0.5000 0.5000 0.0000
0.5000 0.5000 0.5000
0.9791 0.0209 0.7500
0.1192 0.8808 0.0490
0.1192 0.8808 0.4510
0.4490 0.5510 0.2500
0.5510 0.4490 0.7500
0.8808 0.1192 0.5490
0.8808 0.1192 0.9510
```

---

13.
VASP calculation (PBE-GGA) on a relaxed structure of Pu2HS.

Relative energy among the computed polymorphs in meV/atom: 0
Total moment in μB per cell: 35.401

POSCAR file:
```
Pu2HS
1.0
3.7348 0.0000 0.0000
-1.8674 3.2345 0.0000
0.0000 0.0000 18.4498
Pu H S
6 3 3
Direct
0.0000 0.0000 0.2404
0.0000 0.0000 0.7596
0.3333 0.6667 0.4263
0.3333 0.6667 0.9071
0.6667 0.3333 0.0929
0.6667 0.3333 0.5737
0.0000 0.0000 0.5000
0.3333 0.6667 0.1667
0.6667 0.3333 0.8333
0.0000 0.0000 0.0000
0.3333 0.6667 0.6667
0.6667 0.3333 0.3333
```

---

14.
VASP calculation (PBE-GGA) on a relaxed structure of BaZrTa.

Relative energy among the computed polymorphs in meV/atom: 279
Formation energy in eV per atom: 0.96
Total moment in μB per cell: 0.000

POSCAR file:
```
BaZrTa
1.0
5.4103 0.0000 0.0000
-2.7051 4.6854 0.0000
0.0000 0.0000 3.0134
Ba Zr Ta
1 1 1
Direct
0.0000 0.0000 0.0000
0.3333 0.6667 0.0000
0.6667 0.3333 0.5000
```

---

15.
VASP calculation (PBE-GGA) on a relaxed structure of CsTlIn2Ir.

Formation energy in eV per atom: -0.07
Total moment in μB per cell: 0.001

POSCAR file:
```
CsTlIn2Ir
1.0
5.2997 0.0000 0.0000
0.0000 5.2997 0.0000
0.0000 0.0000 5.4200
Cs Tl In Ir
1 1 2 1
Direct
0.0000 0.0000 0.0000
0.5000 0.5000 0.0000
0.0000 0.5000 0.5000
0.5000 0.0000 0.5000
0.5000 0.5000 0.5000
```

---

16.
VASP calculation (PBE-GGA) on a relaxed structure of CeHgBr3.

Formation energy from raw total energies in kJ/mol of formula units: -655
Relative energy among the computed polymorphs in meV/atom: 70
Total moment in μB per cell: 1.000

POSCAR file:
```
CeHgBr3
1.0
5.8371 0.0000 0.0000
0.0000 5.8371 0.0000
0.0000 0.0000 5.8371
Ce Hg Br
1 1 3
Direct
0.0000 0.0000 0.0000
0.5000 0.5000 0.5000
0.0000 0.0000 0.5000
0.0000 0.5000 0.0000
0.5000 0.0000 0.0000
```

---

17.
VASP calculation (PBE-GGA) on a relaxed structure of ScReRu2.

Formation energy in eV per atom: 0.06
Total moment in μB per cell: 0.008

POSCAR file:
```
ScReRu2
1.0
3.1259 0.0000 0.0000
0.0000 3.1259 0.0000
0.0000 0.0000 6.3893
Sc Re Ru
1 1 2
Direct
0.0000 0.0000 0.0000
0.5000 0.5000 0.2823
0.0000 0.0000 0.5004
0.5000 0.5000 0.7666
```

---

18.
VASP calculation (PBE-GGA) on a relaxed structure of GaIrO4.

Formation energy from raw total energies in kJ/mol of formula units: -676
Relative energy among the computed polymorphs in meV/atom: 2
Total moment in μB per cell: 0.000

POSCAR file:
```
GaIrO4
1.0
5.5367 0.0000 0.0000
0.0000 4.5663 0.0000
-2.0034 0.0000 5.1028
Ga Ir O
2 2 8
Direct
0.0000 0.0000 0.0000
0.0000 0.5000 0.5000
0.5000 0.0000 0.5000
0.5000 0.5000 0.0000
0.1536 0.1862 0.3465
0.1536 0.3138 0.8465
0.3527 0.6996 0.6545
0.3527 0.8004 0.1545
0.6473 0.1996 0.8455
0.6473 0.3004 0.3455
0.8464 0.6862 0.1535
0.8464 0.8138 0.6535
```

---

19.
VASP calculation (PBE-GGA) on a relaxed structure of La2ErGe.

Relative energy among the computed polymorphs in meV/atom: 6
Formation energy in eV per atom: -0.34
Total moment in μB per cell: 0.000

POSCAR file:
```
La2ErGe
1.0
4.1453 0.0000 0.0000
0.0000 4.1453 0.0000
0.0000 0.0000 6.9017
La Er Ge
2 1 1
Direct
0.0000 0.0000 0.2165
0.0000 0.0000 0.7835
0.5000 0.5000 0.5000
0.5000 0.5000 0.0000
```

---

20.
VASP calculation (PBE-GGA) on a relaxed structure of SmHoCdNi.

Formation energy in eV per atom: -0.24
Total moment in μB per cell: 0.000

POSCAR file:
```
SmHoCdNi
1.0
7.2064 0.0000 0.0000
0.0000 7.2064 0.0000
0.0000 0.0000 7.2064
Sm Ho Cd Ni
4 4 4 4
Direct
0.0000 0.0000 0.0000
0.0000 0.5000 0.5000
0.5000 0.0000 0.5000
0.5000 0.5000 0.0000
0.0000 0.0000 0.5000
0.0000 0.5000 0.0000
0.5000 0.0000 0.0000
0.5000 0.5000 0.5000
0.2500 0.2500 0.7500
0.2500 0.7500 0.2500
0.7500 0.2500 0.2500
0.7500 0.7500 0.7500
0.2500 0.2500 0.2500
0.2500 0.7500 0.7500
0.7500 0.2500 0.7500
0.7500 0.7500 0.2500
```

---

21.
VASP calculation (PBE-GGA) on a relaxed structure of SmTh2Tc.

Relative energy among the computed polymorphs in meV/atom: 0
Formation energy in eV per atom: -0.11
Total moment in μB per cell: 0.000

POSCAR file:
```
SmTh2Tc
1.0
7.3276 0.0000 0.0000
0.0000 9.7258 0.0000
0.0000 0.0000 6.4166
Sm Th Tc
4 8 4
Direct
0.0400 0.2500 0.1417
0.4600 0.7500 0.6417
0.5400 0.2500 0.3583
0.9600 0.7500 0.8583
0.1703 0.0628 0.6679
0.1703 0.4372 0.6679
0.3297 0.5628 0.1679
0.3297 0.9372 0.1679
0.6703 0.0628 0.8321
0.6703 0.4372 0.8321
0.8297 0.5628 0.3321
0.8297 0.9372 0.3321
0.1115 0.7500 0.4015
0.3885 0.2500 0.9015
0.6115 0.7500 0.0985
0.8885 0.2500 0.5985
```

---

22.
VASP calculation (PBE-GGA) on a relaxed structure of TaCo7B2.

Formation energy in eV per atom: 0.11
Total moment in μB per cell: 6.743

POSCAR file:
```
TaCo7B2
1.0
3.1255 -4.9129 0.0000
3.1255 4.9129 0.0000
0.0000 0.0000 3.8058
Ta Co B
1 7 2
Direct
0.0000 0.0000 0.0000
0.0591 0.3254 0.5000
0.2747 0.7253 0.0000
0.3254 0.0591 0.5000
0.5000 0.5000 0.5000
0.6746 0.9409 0.5000
0.7253 0.2747 0.0000
0.9409 0.6746 0.5000
0.3000 0.7000 0.5000
0.7000 0.3000 0.5000
```

---

23.
VASP calculation (PBE-GGA) on a relaxed structure of ReRuRh2.

Relative energy among the computed polymorphs in meV/atom: 84
Formation energy in eV per atom: 0.00
Total moment in μB per cell: 0.000

POSCAR file:
```
ReRuRh2
1.0
9.0642 0.0000 0.0000
0.0000 2.7156 0.0000
-0.8063 0.0000 4.6358
Re Ru Rh
2 2 4
Direct
0.0000 0.0000 0.0000
0.5000 0.5000 0.0000
0.0000 0.5000 0.5000
0.5000 0.0000 0.5000
0.2502 0.0000 0.7503
0.2498 0.5000 0.2497
0.7498 0.0000 0.2497
0.7502 0.5000 0.7503
```

---

24.
VASP calculation (PBE-GGA) on a relaxed structure of Sm3Dy3Sc2.

Relative energy among the computed polymorphs in meV/atom: 41
Formation energy in eV per atom: 0.08
Total moment in μB per cell: 0.000

POSCAR file:
```
Sm3Dy3Sc2
1.0
16.7691 0.0000 0.0000
0.0000 5.4747 0.0000
-1.8304 0.0000 5.3659
Sm Dy Sc
6 6 4
Direct
0.0000 0.0000 0.0000
0.1401 0.0000 0.6879
0.3599 0.5000 0.3121
0.5000 0.5000 0.0000
0.6401 0.5000 0.6879
0.8599 0.0000 0.3121
0.0000 0.5000 0.5000
0.1388 0.5000 0.0980
0.3612 0.0000 0.9020
0.5000 0.0000 0.5000
0.6388 0.0000 0.0980
0.8612 0.5000 0.9020
0.2499 0.0000 0.3109
0.2501 0.5000 0.6891
0.7501 0.0000 0.6891
0.7499 0.5000 0.3109
```

---

25.
VASP calculation (PBE-GGA) on a relaxed structure of AlCdCoS2.

Formation energy from raw total energies in kJ/mol of formula units: 108
Total moment in μB per cell: 0.301

POSCAR file:
```
AlCdCoS2
1.0
4.5604 0.0000 0.0000
0.0000 4.5604 0.0000
0.0000 0.0000 4.4851
Al Cd Co S
1 1 1 2
Direct
0.0000 0.0000 0.0000
0.5000 0.5000 0.0000
0.0000 0.0000 0.5000
0.0000 0.5000 0.5000
0.5000 0.0000 0.5000
```